(1)
A plane-wave DFT calculation with GGA-PBE was carried out for a relaxed structure of K3Ga2O4.

```
18
Lattice="5.9355 -0.0200 -0.0143 0.2749 7.4948 -0.5916 0.2749 1.8549 7.2857" Properties=species:S:1:pos:R:3 pbc="T T T"
K 5.9929 7.4714 1.5131
K 3.4601 5.4800 0.0873
K 0.4924 1.8584 5.1667
K 3.0251 3.8498 6.5926
K 1.7587 5.0923 2.7535
K 4.7265 4.2375 3.9264
Ga 2.7674 1.8336 2.6220
Ga 0.7501 6.2668 5.7961
Ga 3.7179 7.4962 4.0578
Ga 5.7351 3.0630 0.8838
O 3.2403 7.3834 2.1511
O 0.2772 4.9244 0.3905
O 3.2449 1.9464 4.5287
O 6.2081 4.4054 6.2893
O 0.9429 2.4735 2.3539
O 2.5746 6.3145 5.1039
O 5.5423 6.8563 4.3260
O 3.9107 3.0153 1.5760
```

Calculated values
ΔE_f (raw)	-146.2	kJ/mol of atoms
mass density	3.22	g/cm³
space-group type	No. 15

***

(2)
A plane-wave DFT calculation with GGA-PBE was carried out for a relaxed structure of TiTlAu.

```
6
Lattice="-1.5236 4.1677 -1.4584 -2.8102 -2.7702 2.4993 3.7482 4.6475 9.3657" Properties=species:S:1:pos:R:3 pbc="T T T"
Tl 0.9370 1.1619 2.3414
Tl 2.8111 3.4856 7.0243
Au -1.4443 0.7043 3.5215
Au 0.8587 5.3407 6.8851
Ti 0.0000 0.0000 0.0000
Ti 1.8741 2.3238 4.6829
```

Calculated values
mass density	7.11	g/cm³
formation energy from the elements	1.20	eV per atom
space-group type	No. 194

***

(3)
A plane-wave DFT calculation with GGA-PBE was carried out for a relaxed structure of CrAsRh2.

```
4
Lattice="5.1248 0.0052 0.0017 2.4249 4.5148 -0.0017 -3.2552 -3.1280 2.4255" Properties=species:S:1:pos:R:3 pbc="T T T"
As 3.7643 2.2537 0.0000
Cr 1.6666 1.9398 1.2119
Rh 0.0352 0.0211 0.0000
Rh 2.6033 -0.5625 1.2136
```

Calculated values
mass density	9.85	g/cm³
formation energy from the elements	-0.10	eV per atom
space-group type	No. 44

***

(4)
A plane-wave DFT calculation with GGA-PBE was carried out for a relaxed structure of LaRu2W.

```
4
Lattice="5.9979 0.0079 -0.0014 3.3947 4.9448 0.0014 -4.1031 -3.6014 2.4839" Properties=species:S:1:pos:R:3 pbc="T T T"
La 1.9399 1.8814 1.2426
Ru 9.0966 4.7966 0.0000
Ru 3.3593 -0.5249 1.2413
W 4.9827 2.6273 0.0000
```

Calculated values
mass density	11.84	g/cm³
formation energy from the elements	0.42	eV per atom
space-group type	No. 44

***

(5)
A plane-wave DFT calculation with GGA-PBE was carried out for a relaxed structure of Mg2GaPb.

```
4
Lattice="5.5079 -1.9059 -3.2596 -1.6549 5.5885 3.2596 -3.8058 0.1249 5.4859" Properties=species:S:1:pos:R:3 pbc="T T T"
Mg -1.2825 1.3419 2.0541
Mg -4.1781 4.3715 6.6915
Ga 0.0000 0.0000 0.0000
Pb -2.7303 2.8567 4.3728
```

Calculated values
mass density	5.18	g/cm³
formation energy from the elements	0.17	eV per atom
space-group type	No. 71

***

(6)
A plane-wave DFT calculation with GGA-PBE was carried out for a relaxed structure of TmPaRh6.

```
8
Lattice="4.0055 0.0000 0.0000 0.0000 5.7296 -0.0365 0.0000 0.0364 5.7296" Properties=species:S:1:pos:R:3 pbc="T T T"
Tm 2.0028 2.8830 2.8465
Pa 2.0028 0.0000 0.0000
Rh 0.0000 4.3229 1.3882
Rh 0.0000 1.4430 4.3049
Rh 0.0000 4.3418 4.2869
Rh 0.0000 1.4242 1.4062
Rh 2.0028 2.8648 -0.0182
Rh 2.0028 0.0182 2.8648
```

Calculated values
mass density	12.85	g/cm³
formation energy from the elements	-0.76	eV per atom
space-group type	No. 123